Record 1
First-principles (PBE) data for a relaxed structure of NdEr5Tm5, as listed in the Alexandria database.

```
NdEr5Tm5
1.0
6.7326 0.0000 0.0000
2.0198 6.6148 0.0000
1.8327 1.4369 7.8705
Nd Er Tm
1 5 5
Cartesian
0.0000 0.0000 0.0000 Nd
1.0099 3.3074 0.0000 Er
2.9952 4.6631 2.8229 Er
4.9360 5.9819 5.1615 Er
5.6491 2.0697 2.7091 Er
7.5899 3.3886 5.0476 Er
2.2679 1.3670 2.5269 Tm
4.1905 2.6745 5.6276 Tm
4.3762 3.3074 0.0000 Tm
6.3946 5.3772 2.2429 Tm
8.3172 6.6846 5.3436 Tm
```

For the offset from the most stable computed form, the calculation gives 0.000 eV per atom. As for the space group: P-1, No. 2. The theoretical density is 8.6 g cm⁻³. The formation energy from the elements is 0.143 eV/atom.

Record 2
First-principles (PBE) data for a relaxed structure of TmAl3Ni2, as listed in the Alexandria database.

```
TmAl3Ni2
1.0
7.9575 -1.9865 0.0000
7.9575 1.9865 0.0000
-3.0274 0.0000 9.1748
Tm Al Ni
3 9 6
Cartesian
0.0000 0.0000 0.0000 Tm
0.3724 0.0000 6.4580 Tm
12.5151 0.0000 2.7168 Tm
-0.3303 0.0000 3.1753 Al
2.2696 0.0000 3.6307 Al
5.0625 0.0000 0.3156 Al
3.5074 0.0000 7.3122 Al
6.4437 0.0000 4.5874 Al
9.3801 0.0000 1.8627 Al
7.8250 0.0000 8.8592 Al
10.6179 0.0000 5.5442 Al
13.2178 0.0000 5.9996 Al
2.7670 0.0000 1.2111 Ni
4.1341 0.0000 5.0495 Ni
6.8769 0.0000 2.0568 Ni
6.0106 0.0000 7.1181 Ni
8.7534 0.0000 4.1253 Ni
10.1205 0.0000 7.9637 Ni
```

As for the space group: C2/m, No. 12. The theoretical density is 6.3 g cm⁻³. The formation energy from the elements is -0.588 eV/atom.

Record 3
First-principles (PBE) data for a relaxed structure of Rb3Hg2Pb9, as listed in the Alexandria database.

```
Rb3Hg2Pb9
1.0
-2.5986 6.2925 7.4926
2.5986 -6.2925 7.4926
2.5986 6.2925 -7.4926
Rb Hg Pb
3 2 9
Cartesian
0.0000 0.0000 0.0000 Rb
0.0000 0.0000 4.3232 Rb
0.0000 0.0000 10.6620 Rb
2.5986 4.3183 0.0000 Hg
0.0000 1.9742 7.4926 Hg
2.5986 1.8178 -1.9223 Pb
2.5986 -2.6361 5.1341 Pb
2.5986 1.8178 1.9223 Pb
0.0000 3.6564 2.3584 Pb
0.0000 6.2925 0.0000 Pb
2.5986 2.6361 5.1341 Pb
0.0000 4.4747 5.5703 Pb
0.0000 8.9286 2.3584 Pb
0.0000 4.4747 9.4149 Pb
```

As for the space group: Immm, No. 71. The theoretical density is 8.5 g cm⁻³. The formation energy from the elements is -0.092 eV/atom.